(1)
The following is a DFT calculation (PBE) of crystalline CaIrSe2 at its relaxed geometry.

a b c (Å): 4.310 4.310 7.002
angles (deg): 90.00 90.00 126.35
Fractional coordinates of all 4 atoms:
Ca 0.000 0.000 0.000
Ir 0.000 0.000 0.500
Se 0.500 0.500 0.286
Se 0.500 0.500 0.714

As for the formation energy without anion corrections: -0.419 eV/atom. The distance to the lowest polymorph of the same formula comes out at 1.301 eV per formula unit. The value obtained for the total energy is -4.877 eV per atom. The density of states at the Fermi level comes out at 1.01 states/eV per atom.

---

(2)
The following is a DFT calculation (PBE) of crystalline Ba2YRuO at its relaxed geometry.

a b c (Å): 5.872 5.872 3.936
angles (deg): 90.00 90.00 90.00
Fractional coordinates of all 5 atoms:
Ba 0.000 0.500 0.000
Ba 0.500 0.000 0.000
Y 0.000 0.000 0.500
Ru 0.500 0.500 0.500
O 0.500 0.500 0.000

As for the formation energy without anion corrections: -0.296 eV/atom. The value obtained for the total energy is -5.205 eV per atom. The density of states at the Fermi level comes out at 1.17 states/eV per atom.

---

(3)
The following is a DFT calculation (PBE) of crystalline RbNaBe at its relaxed geometry.

a b c (Å): 4.212 6.766 8.407
angles (deg): 78.81 89.90 89.71
Fractional coordinates of all 6 atoms:
Rb 0.000 0.000 0.000
Rb 0.499 0.897 0.549
Na 0.495 0.463 0.175
Na 0.996 0.409 0.571
Be 0.486 0.489 0.843
Be 0.985 0.515 0.872

The distance to the lowest polymorph of the same formula comes out at 0.102 eV per formula unit. The value obtained for the total energy is -1.534 eV per atom. The density of states at the Fermi level comes out at 0.63 states/eV per atom.

---

(4)
The following is a DFT calculation (PBE) of crystalline Pm2BPt6Rh at its relaxed geometry.

a b c (Å): 7.546 7.546 7.546
angles (deg): 43.59 43.59 43.59
Fractional coordinates of all 10 atoms:
Pm 0.208 0.208 0.208
Pm 0.792 0.792 0.792
B 0.000 0.000 0.000
Pt 0.234 0.234 0.716
Pt 0.234 0.716 0.234
Pt 0.284 0.766 0.766
Pt 0.716 0.234 0.234
Pt 0.766 0.284 0.766
Pt 0.766 0.766 0.284
Rh 0.500 0.500 0.500

The value obtained for the total energy is -6.715 eV per atom. The density of states at the Fermi level comes out at 0.59 states/eV per atom.

---

(5)
The following is a DFT calculation (PBE) of crystalline KPaGa2Br8 at its relaxed geometry.

a b c (Å): 7.148 7.454 9.435
angles (deg): 89.87 89.83 89.28
Fractional coordinates of all 12 atoms:
K 0.000 0.000 0.000
Pa 0.000 0.000 0.500
Ga 0.500 0.500 0.215
Ga 0.500 0.500 0.785
Br 0.209 0.696 0.501
Br 0.227 0.140 0.294
Br 0.227 0.141 0.705
Br 0.283 0.649 0.000
Br 0.717 0.351 0.000
Br 0.773 0.859 0.295
Br 0.773 0.860 0.706
Br 0.791 0.304 0.499

As for the formation energy without anion corrections: -1.188 eV/atom. The value obtained for the total energy is -3.690 eV per atom.

---

(6)
The following is a DFT calculation (PBE) of crystalline NiAs2SeBr at its relaxed geometry.

a b c (Å): 4.738 4.738 4.689
angles (deg): 90.00 90.00 90.00
Fractional coordinates of all 5 atoms:
Ni 0.000 0.000 0.000
As 0.000 0.500 0.000
As 0.500 0.000 0.000
Se 0.500 0.500 0.500
Br 0.000 0.000 0.500

As for the formation energy without anion corrections: 0.446 eV/atom. The distance to the lowest polymorph of the same formula comes out at 0.000 eV per formula unit. The value obtained for the total energy is -3.602 eV per atom. The density of states at the Fermi level comes out at 0.94 states/eV per atom.

---

(7)
The following is a DFT calculation (PBE) of crystalline AlBi at its relaxed geometry.

a b c (Å): 11.124 11.124 4.607
angles (deg): 90.00 90.00 120.00
Fractional coordinates of all 12 atoms:
Al 0.074 0.421 0.250
Al 0.347 0.926 0.250
Al 0.421 0.347 0.750
Al 0.579 0.653 0.250
Al 0.653 0.074 0.750
Al 0.926 0.579 0.750
Bi 0.090 0.682 0.250
Bi 0.318 0.408 0.250
Bi 0.408 0.090 0.750
Bi 0.592 0.910 0.250
Bi 0.682 0.592 0.750
Bi 0.910 0.318 0.750

The value obtained for the total energy is -3.605 eV per atom. The density of states at the Fermi level comes out at 0.05 states/eV per atom.

---

(8)
The following is a DFT calculation (PBE) of crystalline Pu2Al4Zn3Au at its relaxed geometry.

a b c (Å): 4.212 4.212 10.822
angles (deg): 90.00 90.00 90.00
Fractional coordinates of all 10 atoms:
Pu 0.000 0.500 0.247
Pu 0.500 0.000 0.753
Al 0.000 0.000 0.000
Al 0.000 0.500 0.638
Al 0.500 0.000 0.362
Al 0.500 0.500 0.000
Zn 0.000 0.500 0.864
Zn 0.500 0.000 0.136
Zn 0.500 0.500 0.500
Au 0.000 0.000 0.500

The value obtained for the total energy is -5.336 eV per atom. The density of states at the Fermi level comes out at 2.48 states/eV per atom.

---

(9)
The following is a DFT calculation (PBE) of crystalline Sc2TlRe at its relaxed geometry.

a b c (Å): 5.355 5.355 5.355
angles (deg): 133.78 133.78 67.44
Fractional coordinates of all 4 atoms:
Sc 0.000 0.000 0.000
Sc 0.750 0.250 0.500
Tl 0.250 0.750 0.500
Re 0.500 0.500 0.000

The value obtained for the total energy is -6.763 eV per atom. The density of states at the Fermi level comes out at 1.20 states/eV per atom.

---

(10)
The following is a DFT calculation (PBE) of crystalline PrGaCu2 at its relaxed geometry.

a b c (Å): 3.702 4.760 4.760
angles (deg): 82.75 90.00 90.00
Fractional coordinates of all 4 atoms:
Pr 0.000 0.000 0.000
Ga 0.500 0.411 0.411
Cu 0.500 0.516 0.901
Cu 0.500 0.901 0.516

The value obtained for the total energy is -4.108 eV per atom. The density of states at the Fermi level comes out at 0.68 states/eV per atom.

---

(11)
The following is a DFT calculation (PBE) of crystalline Pm4Te3N2 at its relaxed geometry.

a b c (Å): 7.401 7.401 9.729
angles (deg): 120.40 120.40 32.95
Fractional coordinates of all 9 atoms:
Pm 0.129 0.129 0.414
Pm 0.309 0.309 0.861
Pm 0.691 0.691 0.139
Pm 0.871 0.871 0.586
Te 0.000 0.000 0.000
Te 0.384 0.384 0.274
Te 0.616 0.616 0.726
N 0.309 0.309 0.635
N 0.691 0.691 0.365

As for the formation energy without anion corrections: -1.496 eV/atom. The value obtained for the total energy is -6.504 eV per atom.

---

(12)
The following is a DFT calculation (PBE) of crystalline ScOsRu2 at its relaxed geometry.

a b c (Å): 3.021 4.444 4.552
angles (deg): 90.00 90.00 90.00
Fractional coordinates of all 4 atoms:
Sc 0.000 0.000 0.000
Os 0.500 0.000 0.500
Ru 0.000 0.500 0.500
Ru 0.500 0.500 0.000

The distance to the lowest polymorph of the same formula comes out at 0.356 eV per formula unit. The value obtained for the total energy is -9.005 eV per atom. The density of states at the Fermi level comes out at 1.38 states/eV per atom.

---

(13)
The following is a DFT calculation (PBE) of crystalline Na5Eu3Br12 at its relaxed geometry.

a b c (Å): 15.020 15.020 15.020
angles (deg): 109.47 109.47 109.47
Fractional coordinates of all 80 atoms:
Na 0.000 0.000 0.000
Na 0.000 0.000 0.500
Na 0.000 0.500 0.000
Na 0.000 0.500 0.500
Na 0.125 0.750 0.875
Na 0.125 0.875 0.250
Na 0.250 0.125 0.875
Na 0.250 0.625 0.375
Na 0.375 0.250 0.625
Na 0.375 0.625 0.750
Na 0.500 0.000 0.000
Na 0.500 0.000 0.500
Na 0.500 0.500 0.000
Na 0.500 0.500 0.500
Na 0.625 0.375 0.250
Na 0.625 0.750 0.375
Na 0.750 0.375 0.625
Na 0.750 0.875 0.125
Na 0.875 0.125 0.750
Na 0.875 0.250 0.125
Eu 0.125 0.250 0.375
Eu 0.125 0.375 0.750
Eu 0.250 0.375 0.125
Eu 0.250 0.875 0.625
Eu 0.375 0.125 0.250
Eu 0.375 0.750 0.125
Eu 0.625 0.250 0.875
Eu 0.625 0.875 0.750
Eu 0.750 0.125 0.375
Eu 0.750 0.625 0.875
Eu 0.875 0.625 0.250
Eu 0.875 0.750 0.625
Br 0.049 0.223 0.132
Br 0.049 0.325 0.917
Br 0.083 0.632 0.408
Br 0.083 0.951 0.675
Br 0.092 0.723 0.675
Br 0.092 0.868 0.417
Br 0.132 0.049 0.223
Br 0.132 0.583 0.908
Br 0.175 0.223 0.592
Br 0.175 0.451 0.583
Br 0.223 0.132 0.049
Br 0.223 0.592 0.175
Br 0.277 0.325 0.908
Br 0.277 0.451 0.368
Br 0.325 0.908 0.277
Br 0.325 0.917 0.049
Br 0.368 0.277 0.451
Br 0.368 0.592 0.917
Br 0.408 0.083 0.632
Br 0.408 0.825 0.777
Br 0.417 0.092 0.868
Br 0.417 0.825 0.549
Br 0.451 0.368 0.277
Br 0.451 0.583 0.175
Br 0.549 0.417 0.825
Br 0.549 0.632 0.723
Br 0.583 0.175 0.451
Br 0.583 0.908 0.132
Br 0.592 0.175 0.223
Br 0.592 0.917 0.368
Br 0.632 0.408 0.083
Br 0.632 0.723 0.549
Br 0.675 0.083 0.951
Br 0.675 0.092 0.723
Br 0.723 0.549 0.632
Br 0.723 0.675 0.092
Br 0.777 0.408 0.825
Br 0.777 0.868 0.951
Br 0.825 0.549 0.417
Br 0.825 0.777 0.408
Br 0.868 0.417 0.092
Br 0.868 0.951 0.777
Br 0.908 0.132 0.583
Br 0.908 0.277 0.325
Br 0.917 0.049 0.325
Br 0.917 0.368 0.592
Br 0.951 0.675 0.083
Br 0.951 0.777 0.868

As for the formation energy without anion corrections: -1.666 eV/atom. The value obtained for the total energy is -4.540 eV per atom. The density of states at the Fermi level comes out at 2.30 states/eV per atom.

---

(14)
The following is a DFT calculation (PBE) of crystalline Nd3Al2Sn3 at its relaxed geometry.

a b c (Å): 6.307 6.307 15.903
angles (deg): 90.00 90.00 138.29
Fractional coordinates of all 16 atoms:
Nd 0.061 0.939 0.612
Nd 0.061 0.939 0.888
Nd 0.345 0.655 0.750
Nd 0.655 0.345 0.250
Nd 0.939 0.061 0.112
Nd 0.939 0.061 0.388
Al 0.222 0.778 0.115
Al 0.222 0.778 0.385
Al 0.778 0.222 0.615
Al 0.778 0.222 0.885
Sn 0.372 0.628 0.539
Sn 0.372 0.628 0.961
Sn 0.377 0.623 0.250
Sn 0.623 0.377 0.750
Sn 0.628 0.372 0.039
Sn 0.628 0.372 0.461

The distance to the lowest polymorph of the same formula comes out at 0.000 eV per formula unit. The value obtained for the total energy is -4.830 eV per atom. The density of states at the Fermi level comes out at 0.78 states/eV per atom.

---

(15)
The following is a DFT calculation (PBE) of crystalline PrSi3Tc3 at its relaxed geometry.

a b c (Å): 6.595 6.595 6.595
angles (deg): 90.00 90.00 90.00
Fractional coordinates of all 14 atoms:
Pr 0.000 0.000 0.000
Pr 0.500 0.500 0.500
Si 0.000 0.250 0.500
Si 0.000 0.750 0.500
Si 0.250 0.500 0.000
Si 0.500 0.000 0.250
Si 0.500 0.000 0.750
Si 0.750 0.500 0.000
Tc 0.000 0.500 0.250
Tc 0.000 0.500 0.750
Tc 0.250 0.000 0.500
Tc 0.500 0.250 0.000
Tc 0.500 0.750 0.000
Tc 0.750 0.000 0.500

As for the formation energy without anion corrections: 0.078 eV/atom. The distance to the lowest polymorph of the same formula comes out at 3.740 eV per formula unit. The value obtained for the total energy is -7.372 eV per atom. The density of states at the Fermi level comes out at 1.06 states/eV per atom.

---

(16)
The following is a DFT calculation (PBE) of crystalline SmGa4CoRh2 at its relaxed geometry.

a b c (Å): 8.976 8.976 8.976
angles (deg): 27.04 27.04 27.04
Fractional coordinates of all 8 atoms:
Sm 0.000 0.000 0.000
Ga 0.134 0.134 0.134
Ga 0.403 0.403 0.403
Ga 0.597 0.597 0.597
Ga 0.866 0.866 0.866
Co 0.500 0.500 0.500
Rh 0.233 0.233 0.233
Rh 0.767 0.767 0.767

The value obtained for the total energy is -5.432 eV per atom. The density of states at the Fermi level comes out at 0.38 states/eV per atom.

---

(17)
The following is a DFT calculation (PBE) of crystalline Ce2Ge6PdPt at its relaxed geometry.

a b c (Å): 5.698 8.745 8.550
angles (deg): 90.00 90.00 90.00
Fractional coordinates of all 20 atoms:
Ce 0.250 0.003 0.215
Ce 0.250 0.497 0.215
Ce 0.750 0.503 0.785
Ce 0.750 0.997 0.785
Ge 0.017 0.750 0.465
Ge 0.025 0.750 0.983
Ge 0.250 0.016 0.606
Ge 0.250 0.484 0.606
Ge 0.475 0.750 0.983
Ge 0.483 0.750 0.465
Ge 0.517 0.250 0.535
Ge 0.525 0.250 0.017
Ge 0.750 0.516 0.394
Ge 0.750 0.984 0.394
Ge 0.975 0.250 0.017
Ge 0.983 0.250 0.535
Pd 0.250 0.250 0.799
Pd 0.750 0.750 0.201
Pt 0.250 0.750 0.728
Pt 0.750 0.250 0.272

The value obtained for the total energy is -5.459 eV per atom. The density of states at the Fermi level comes out at 1.42 states/eV per atom.

---

(18)
The following is a DFT calculation (PBE) of crystalline K2PuPt2O6 at its relaxed geometry.

a b c (Å): 5.591 5.591 7.093
angles (deg): 104.06 104.06 111.04
Fractional coordinates of all 11 atoms:
K 0.182 0.818 0.000
K 0.818 0.182 0.000
Pu 0.500 0.500 0.500
Pt 0.169 0.831 0.500
Pt 0.831 0.169 0.500
O 0.033 0.033 0.330
O 0.291 0.618 0.293
O 0.382 0.709 0.707
O 0.618 0.291 0.293
O 0.709 0.382 0.707
O 0.967 0.967 0.670

As for the formation energy without anion corrections: -1.480 eV/atom. The value obtained for the total energy is -6.785 eV per atom. The density of states at the Fermi level comes out at 0.58 states/eV per atom.

---

(19)
The following is a DFT calculation (PBE) of crystalline BaLuZn2 at its relaxed geometry.

a b c (Å): 3.722 3.722 7.748
angles (deg): 90.00 90.00 90.00
Fractional coordinates of all 4 atoms:
Ba 0.000 0.000 0.000
Lu 0.000 0.000 0.500
Zn 0.500 0.500 0.311
Zn 0.500 0.500 0.689

The value obtained for the total energy is -2.462 eV per atom. The density of states at the Fermi level comes out at 0.43 states/eV per atom.

---

(20)
The following is a DFT calculation (PBE) of crystalline LiCuNiIr at its relaxed geometry.

a b c (Å): 4.104 4.104 4.104
angles (deg): 60.00 60.00 60.00
Fractional coordinates of all 4 atoms:
Li 0.000 0.000 0.000
Cu 0.250 0.250 0.250
Ni 0.500 0.500 0.500
Ir 0.750 0.750 0.750

The value obtained for the total energy is -5.087 eV per atom. The density of states at the Fermi level comes out at 1.19 states/eV per atom.